[1]
! VCoRe2H, optimized geometry, DFT GGA-PBE; values from VASP
! Total moment, μB/atom: 0.00
! Final energy, eV per cell: -44.31
! SG: P4/mmm (123)
&SYSTEM
  ibrav = 0, nat = 5, ntyp = 4
/
ATOMIC_SPECIES
V 50.94 V.upf
Co 58.93 Co.upf
Re 186.21 Re.upf
H 1.01 H.upf
CELL_PARAMETERS angstrom
3.924 0.000 0.000
0.000 3.924 0.000
0.000 0.000 3.622
ATOMIC_POSITIONS angstrom
V 0.000 0.000 0.000
Co 1.962 1.962 0.000
Re 0.000 1.962 1.811
Re 1.962 0.000 1.811
H 1.962 1.962 1.811

***

[2]
! Ba2SbIr, optimized geometry, DFT GGA-PBE; values from VASP
! Total moment, μB/atom: 0.00
! Final energy, eV per cell: -17.27
! SG: P4mm (99)
! Uncorrected formation energy, meV per atom: -110
&SYSTEM
  ibrav = 0, nat = 4, ntyp = 3
/
ATOMIC_SPECIES
Ba 137.33 Ba.upf
Sb 121.76 Sb.upf
Ir 192.22 Ir.upf
CELL_PARAMETERS angstrom
3.805 0.000 0.000
0.000 3.805 0.000
0.000 0.000 9.681
ATOMIC_POSITIONS angstrom
Ba 0.000 0.000 0.000
Ba 1.903 1.903 4.040
Sb 1.903 1.903 7.290
Ir 0.000 0.000 6.474

***

[3]
! NiAg2Sb2, optimized geometry, DFT GGA-PBE; values from VASP
! Total moment, μB/atom: 0.00
! Final energy, eV per cell: -37.99
! SG: P4/mbm (127)
! Uncorrected formation energy, meV per atom: 147
&SYSTEM
  ibrav = 0, nat = 10, ntyp = 3
/
ATOMIC_SPECIES
Ni 58.69 Ni.upf
Ag 107.87 Ag.upf
Sb 121.76 Sb.upf
CELL_PARAMETERS angstrom
6.630 0.000 0.000
0.000 6.630 0.000
0.000 0.000 4.860
ATOMIC_POSITIONS angstrom
Ni 0.000 0.000 0.000
Ni 3.315 3.315 0.000
Ag 1.092 2.223 2.430
Ag 2.223 5.538 2.430
Ag 4.408 1.092 2.430
Ag 5.538 4.408 2.430
Sb 1.042 4.357 0.000
Sb 2.273 1.042 0.000
Sb 4.357 5.589 0.000
Sb 5.589 2.273 0.000

***

[4]
! Cu2TcMo, optimized geometry, DFT GGA-PBE; values from VASP
! Total moment, μB/atom: 0.00
! Final energy, eV per cell: -28.52
! Polymorph energy (0 for the lowest one), meV per atom: 52
! E_form, eV/atom: 0.218
! SG: Cm (8)
&SYSTEM
  ibrav = 0, nat = 4, ntyp = 3
/
ATOMIC_SPECIES
Cu 63.55 Cu.upf
Tc 98.00 Tc.upf
Mo 95.94 Mo.upf
CELL_PARAMETERS angstrom
4.495 -1.271 0.000
4.495 1.271 0.000
-0.511 0.000 4.830
ATOMIC_POSITIONS angstrom
Cu 0.000 0.000 0.000
Cu 6.604 0.000 1.053
Tc 4.167 0.000 2.367
Mo 1.900 0.000 3.514

***

[5]
! CuBi2O4, optimized geometry, DFT GGA-PBE; values from VASP
! Total moment, μB/atom: 0.07
! Final energy, eV per cell: -76.76
! Polymorph energy (0 for the lowest one), meV per atom: 93
! SG: I4cm (108)
! Uncorrected formation energy, meV per atom: -956
&SYSTEM
  ibrav = 0, nat = 14, ntyp = 3
/
ATOMIC_SPECIES
Cu 63.55 Cu.upf
Bi 208.98 Bi.upf
O 16.00 O.upf
CELL_PARAMETERS angstrom
-4.447 4.447 2.819
4.447 -4.447 2.819
4.447 4.447 -2.819
ATOMIC_POSITIONS angstrom
Cu 0.000 0.000 0.000
Cu 0.000 0.000 2.819
Bi 2.933 -1.514 1.121
Bi 5.961 1.514 1.121
Bi 1.514 2.933 1.121
Bi -1.514 5.961 1.121
O 1.696 0.942 0.094
O 3.505 -2.750 2.914
O 3.505 2.750 0.094
O 1.696 -0.942 2.914
O 2.750 5.389 0.094
O 0.942 1.696 2.914
O 0.942 7.197 0.094
O 2.750 3.505 2.914

***

[6]
! LaHfZn2, optimized geometry, DFT GGA-PBE; values from VASP
! Total moment, μB/atom: 0.00
! Final energy, eV per cell: -18.21
! Polymorph energy (0 for the lowest one), meV per atom: 0
! E_form, eV/atom: -0.195
! SG: P4/mmm (123)
&SYSTEM
  ibrav = 0, nat = 4, ntyp = 3
/
ATOMIC_SPECIES
La 138.91 La.upf
Hf 178.49 Hf.upf
Zn 65.41 Zn.upf
CELL_PARAMETERS angstrom
3.466 0.000 0.000
0.000 3.466 0.000
0.000 0.000 7.261
ATOMIC_POSITIONS angstrom
La 0.000 0.000 0.000
Hf 0.000 0.000 3.631
Zn 1.733 1.733 2.166
Zn 1.733 1.733 5.095

***

[7]
! Li3Sm2GaCu12, optimized geometry, DFT GGA-PBE; values from VASP
! Total moment, μB/atom: 0.00
! Final energy, eV per cell: -67.14
! E_form, eV/atom: 0.012
! SG: R-3m (166)
&SYSTEM
  ibrav = 0, nat = 18, ntyp = 4
/
ATOMIC_SPECIES
Li 6.94 Li.upf
Sm 150.36 Sm.upf
Ga 69.72 Ga.upf
Cu 63.55 Cu.upf
CELL_PARAMETERS angstrom
4.333 2.502 4.156
-4.333 2.502 4.156
0.000 -5.004 4.156
ATOMIC_POSITIONS angstrom
Li -2.167 -1.251 4.156
Li -2.167 1.251 8.313
Li 0.000 2.502 4.156
Sm 0.000 0.000 2.783
Sm 0.000 0.000 9.686
Ga 0.000 0.000 6.234
Cu 0.000 -2.911 3.309
Cu -2.521 1.455 3.309
Cu -2.022 -1.167 6.803
Cu 0.000 -2.334 5.666
Cu -2.022 1.167 5.666
Cu -2.521 -1.455 9.160
Cu 2.521 1.455 3.309
Cu 2.022 -1.167 6.803
Cu 0.000 2.334 6.803
Cu 2.022 1.167 5.666
Cu 2.521 -1.455 9.160
Cu 0.000 2.911 9.160

***

[8]
! Ce3FeB2C6, optimized geometry, DFT GGA-PBE; values from VASP
! Total moment, μB/atom: 0.09
! Final energy, eV per cell: -92.56
! E_form, eV/atom: 0.201
! SG: P-3m1 (164)
&SYSTEM
  ibrav = 0, nat = 12, ntyp = 4
/
ATOMIC_SPECIES
Ce 140.12 Ce.upf
Fe 55.84 Fe.upf
B 10.81 B.upf
C 12.01 C.upf
CELL_PARAMETERS angstrom
5.374 0.000 0.000
-2.687 4.654 0.000
0.000 0.000 6.025
ATOMIC_POSITIONS angstrom
Ce 0.000 0.000 0.000
Ce 0.000 3.103 4.059
Ce 2.687 1.551 1.966
Fe 0.000 0.000 3.012
B 0.000 3.103 1.531
B 2.687 1.551 4.494
C 0.000 1.591 1.818
C -1.309 3.859 1.818
C 1.378 0.796 4.207
C 1.309 3.859 1.818
C 3.996 0.796 4.207
C 2.687 3.063 4.207

***

[9]
! Ta2OsAu, optimized geometry, DFT GGA-PBE; values from VASP
! Total moment, μB/atom: 0.00
! Final energy, eV per cell: -37.63
! Polymorph energy (0 for the lowest one), meV per atom: 289
! E_form, eV/atom: 0.146
! SG: P2/m (10)
&SYSTEM
  ibrav = 0, nat = 4, ntyp = 3
/
ATOMIC_SPECIES
Ta 180.95 Ta.upf
Os 190.23 Os.upf
Au 196.97 Au.upf
CELL_PARAMETERS angstrom
4.843 0.000 0.000
0.000 3.010 0.000
-1.483 0.000 4.653
ATOMIC_POSITIONS angstrom
Ta 0.000 0.000 0.000
Ta -0.742 1.505 2.326
Os 1.680 0.000 2.326
Au 2.422 1.505 0.000

***

[10]
! VAsN, optimized geometry, DFT GGA-PBE; values from VASP
! Total moment, μB/atom: 0.00
! Final energy, eV per cell: -137.40
! Polymorph energy (0 for the lowest one), meV per atom: 65
! SG: Pm (6)
! Uncorrected formation energy, meV per atom: -269
&SYSTEM
  ibrav = 0, nat = 18, ntyp = 3
/
ATOMIC_SPECIES
V 50.94 V.upf
As 74.92 As.upf
N 14.01 N.upf
CELL_PARAMETERS angstrom
5.531 0.000 0.000
0.000 3.093 0.000
-1.528 0.000 15.219
ATOMIC_POSITIONS angstrom
V 0.000 0.000 0.000
V -0.073 1.546 2.946
V 0.036 1.546 12.428
V 1.789 0.000 9.867
V 2.472 1.546 6.749
V 3.996 0.000 4.911
As -0.503 1.546 6.667
As -0.130 1.546 9.245
As 2.667 0.000 0.680
As 2.990 1.546 3.107
As 2.057 1.546 14.188
As 3.544 1.546 10.854
N 0.164 1.546 1.118
N -0.828 0.000 13.624
N 0.194 0.000 3.853
N 0.811 0.000 11.713
N 2.275 0.000 5.717
N 2.294 0.000 8.214

***

[11]
! NaBi2Ru2, optimized geometry, DFT GGA-PBE; values from VASP
! Total moment, μB/atom: 0.00
! Final energy, eV per cell: -26.67
! Polymorph energy (0 for the lowest one), meV per atom: 0
! E_form, eV/atom: 0.193
! SG: I4/mmm (139)
&SYSTEM
  ibrav = 0, nat = 5, ntyp = 3
/
ATOMIC_SPECIES
Na 22.99 Na.upf
Bi 208.98 Bi.upf
Ru 101.07 Ru.upf
CELL_PARAMETERS angstrom
-2.059 2.059 7.324
2.059 -2.059 7.324
2.059 2.059 -7.324
ATOMIC_POSITIONS angstrom
Na 0.000 0.000 0.000
Bi 0.000 0.000 5.422
Bi 0.000 0.000 9.226
Ru 2.059 0.000 3.662
Ru 0.000 2.059 3.662

***

[12]
! Zn2As, optimized geometry, DFT GGA-PBE; values from VASP
! Total moment, μB/atom: 0.00
! Final energy, eV per cell: -6.65
! Polymorph energy (0 for the lowest one), meV per atom: 162
! E_form, eV/atom: 0.182
! SG: I4/mmm (139)
&SYSTEM
  ibrav = 0, nat = 3, ntyp = 2
/
ATOMIC_SPECIES
Zn 65.41 Zn.upf
As 74.92 As.upf
CELL_PARAMETERS angstrom
-1.467 1.467 5.957
1.467 -1.467 5.957
1.467 1.467 -5.957
ATOMIC_POSITIONS angstrom
Zn 0.000 0.000 2.088
Zn 0.000 0.000 9.826
As 0.000 0.000 5.957

***

[13]
! NaLi2Ca4, optimized geometry, DFT GGA-PBE; values from VASP
! Total moment, μB/atom: 0.00
! Final energy, eV per cell: -12.63
! E_form, eV/atom: 0.075
! SG: R-3m (166)
&SYSTEM
  ibrav = 0, nat = 7, ntyp = 3
/
ATOMIC_SPECIES
Na 22.99 Na.upf
Li 6.94 Li.upf
Ca 40.08 Ca.upf
CELL_PARAMETERS angstrom
2.952 1.704 8.297
-2.952 1.704 8.297
0.000 -3.408 8.297
ATOMIC_POSITIONS angstrom
Na 0.000 0.000 0.000
Li 0.000 0.000 6.963
Li 0.000 0.000 17.928
Ca 0.000 0.000 3.611
Ca 0.000 0.000 10.441
Ca 0.000 0.000 14.450
Ca 0.000 0.000 21.280